Ta2BeIn | PBE-GGA | optimized geometry

Computed properties:
Excess energy over the best structure of this formula in the dataset = 0.65 eV per formula unit
Total DFT energy (no corrections) = -7.28 eV/atom
Energy of formation = 0.258 eV/atom

Structure (POSCAR):
```
Ta2BeIn
1.0
2.905 0.000 0.000
0.000 3.992 0.000
0.000 0.000 5.848
Ta Be In
2 1 1
Cartesian
0.000 0.000 0.128 Ta
0.000 0.000 2.797 Ta
1.453 1.996 1.462 Be
1.453 1.996 4.386 In
```